1.
Cr2TeRh | PBE | optimized geometry

extended XYZ file:
```
4
Lattice="2.9275 0.0000 0.0000 0.0000 4.0074 0.0000 -0.9204 0.0000 5.4716" Properties=species:S:1:pos:R:3 pbc="T T T"
Cr -0.0023 0.0000 1.0049
Cr 2.0094 0.0000 4.4667
Te 1.0035 2.0037 2.7358
Rh 1.4637 2.0037 0.0000
```

Computed properties:
Formation energy from raw total energies = 1.5 eV/f.u.
DOS at the Fermi energy = 1.22 states/eV per atom
Energy = -0.25984 Ha/atom

2.
Ho3AlCo | PBE | optimized geometry

extended XYZ file:
```
10
Lattice="5.3435 0.0000 0.0000 -0.7644 6.5276 0.0000 -0.8509 -0.1464 6.7458" Properties=species:S:1:pos:R:3 pbc="T T T"
Ho 0.0000 0.0000 0.0000
Ho -0.4033 3.2264 0.7965
Ho 1.1026 5.3650 3.0241
Ho 1.6828 1.6512 5.5546
Ho 3.8921 3.9826 4.3294
Ho 4.5256 0.8144 3.1915
Al 1.1445 4.8377 6.2314
Al 2.0991 2.4259 2.2607
Co 2.7314 0.4375 1.0349
Co 3.1649 4.7268 1.7765
```

Computed properties:
Relative energy among the computed polymorphs = 37 meV per atom
Calculated formation energy = -0.203 eV/atom
DOS at the Fermi energy = 0.95 states/eV per atom
Energy = -0.18812 Ha/atom

3.
MnHg2Pd | PBE | optimized geometry

extended XYZ file:
```
8
Lattice="-3.7729 3.7729 2.8505 3.7729 -3.7729 2.8505 3.7729 3.7729 -2.8505" Properties=species:S:1:pos:R:3 pbc="T T T"
Mn 0.0000 0.0000 0.0000
Mn 0.0000 3.7729 1.4253
Hg 5.6593 1.8744 -0.7126
Hg 1.8744 1.8864 0.7126
Hg -1.8864 1.8984 2.1379
Hg 1.8984 1.8864 3.5632
Pd 3.7729 0.0000 1.4253
Pd 0.0000 0.0000 2.8505
```

Computed properties:
Relative energy among the computed polymorphs = 221 meV per atom
Calculated formation energy = 0.286 eV/atom
DOS at the Fermi energy = 0.63 states/eV per atom
Energy = -0.12698 Ha/atom

4.
LiZrMo2 | PBE | optimized geometry

extended XYZ file:
```
4
Lattice="2.6997 0.0000 0.0000 0.0000 2.6997 0.0000 0.0000 0.0000 9.6583" Properties=species:S:1:pos:R:3 pbc="T T T"
Li 0.0000 0.0000 0.0000
Zr 1.3499 1.3499 6.9809
Mo 0.0000 0.0000 4.5501
Mo 1.3499 1.3499 2.2582
```

Computed properties:
Relative energy among the computed polymorphs = 183 meV per atom
Calculated formation energy = 0.373 eV/atom
DOS at the Fermi energy = 0.74 states/eV per atom
Energy = -0.28141 Ha/atom